[1]
MnPtW | Alexandria via LeMat-Bulk | GGA-PBE | relaxed; magnetization = 2.1 μB/f.u.; formation enthalpy at 0 K = 13 kJ/mol of formula units; ΔE to the lowest computed polymorph = 0.140 eV/atom
1.0
4.342 0.000 0.000
-2.171 3.760 0.000
0.000 0.000 2.696
Mn Pt W
1 1 1
direct
0.000 0.000 0.000
0.667 0.333 0.377
0.333 0.667 0.815

---

[2]
MnPtW2 | Alexandria via LeMat-Bulk | GGA-PBE | relaxed; magnetization = 2.3 μB/f.u.; formation enthalpy at 0 K = 0 kJ/mol of formula units; ΔE to the lowest computed polymorph = 0.064 eV/atom
1.0
1.741 -2.085 0.000
1.741 2.085 0.000
0.000 0.000 8.325
Mn Pt W
1 1 2
direct
0.000 0.000 0.000
0.500 0.500 0.760
0.000 0.000 0.508
0.500 0.500 0.238

---

[3]
MnPtW | Alexandria via LeMat-Bulk | GGA-PBE | relaxed; magnetization = 2.0 μB/f.u.; formation enthalpy at 0 K = -26 kJ/mol of formula units; ΔE to the lowest computed polymorph = 0.008 eV/atom
1.0
-1.352 1.352 5.968
1.352 -1.352 5.968
1.352 1.352 -5.968
Mn Pt W
1 1 1
direct
0.000 0.000 0.000
0.662 0.662 0.000
0.335 0.335 0.000

---

[4]
MnPtW | Alexandria via LeMat-Bulk | GGA-PBE | relaxed; magnetization = 0.8 μB/f.u.; formation enthalpy at 0 K = 123 kJ/mol of formula units; ΔE to the lowest computed polymorph = 0.522 eV/atom
1.0
0.000 2.908 2.908
2.908 0.000 2.908
2.908 2.908 0.000
Mn Pt W
1 1 1
direct
0.000 0.000 0.000
0.250 0.250 0.250
0.750 0.750 0.750

---

[5]
Mn2PtW | Alexandria via LeMat-Bulk | GGA-PBE | relaxed; magnetization = 0.0 μB/f.u.; formation enthalpy at 0 K = 261 kJ/mol of formula units; ΔE to the lowest computed polymorph = 0.777 eV/atom
1.0
-1.866 1.866 8.681
1.866 -1.866 8.681
1.866 1.866 -8.681
Mn Pt W
4 2 2
direct
0.057 0.625 0.932
0.375 0.307 0.432
0.693 0.125 0.068
0.875 0.943 0.568
0.250 0.750 0.500
0.500 0.500 0.000
0.000 0.000 0.000
0.750 0.250 0.500

---

[6]
Mn2PtW | Alexandria via LeMat-Bulk | GGA-PBE | relaxed; magnetization = 1.1 μB/f.u.; formation enthalpy at 0 K = -25 kJ/mol of formula units; ΔE to the lowest computed polymorph = 0.038 eV/atom
1.0
2.717 0.000 0.000
0.000 2.717 0.000
0.000 0.000 7.600
Mn Pt W
2 1 1
direct
0.000 0.000 0.000
0.500 0.500 0.215
0.000 0.000 0.475
0.500 0.500 0.744

---

[7]
MnPtW2 | Alexandria via LeMat-Bulk | GGA-PBE | relaxed; magnetization = 2.0 μB/f.u.; formation enthalpy at 0 K = 6 kJ/mol of formula units; ΔE to the lowest computed polymorph = 0.078 eV/atom
1.0
2.699 0.000 0.000
0.000 4.437 0.000
-0.446 0.000 4.996
Mn Pt W
1 1 2
direct
0.000 0.000 0.000
0.988 0.500 0.293
0.379 0.500 0.809
0.566 0.000 0.510

---

[8]
MnPtW3 | Alexandria via LeMat-Bulk | GGA-PBE | relaxed; magnetization = 0.0 μB/f.u.; formation enthalpy at 0 K = 575 kJ/mol of formula units; ΔE to the lowest computed polymorph = 0.000 eV/atom
1.0
4.427 0.000 0.000
0.000 4.427 0.000
0.000 0.000 4.427
Mn Pt W
1 1 3
direct
0.000 0.000 0.000
0.500 0.500 0.500
0.000 0.000 0.500
0.000 0.500 0.000
0.500 0.000 0.000

---

[9]
MnPtW2 | Alexandria via LeMat-Bulk | GGA-PBE | relaxed; magnetization = 2.1 μB/f.u.; formation enthalpy at 0 K = 13 kJ/mol of formula units; ΔE to the lowest computed polymorph = 0.097 eV/atom
1.0
4.565 -1.353 0.000
4.565 1.353 0.000
-0.726 0.000 4.874
Mn Pt W
1 1 2
direct
0.000 0.000 0.000
0.253 0.253 0.742
0.506 0.506 0.504
0.750 0.750 0.225

---

[10]
MnPtW2 | Alexandria via LeMat-Bulk | GGA-PBE | relaxed; magnetization = 0.0 μB/f.u.; formation enthalpy at 0 K = 149 kJ/mol of formula units; ΔE to the lowest computed polymorph = 0.449 eV/atom
1.0
0.000 3.107 3.107
3.107 0.000 3.107
3.107 3.107 0.000
Mn Pt W
1 1 2
direct
0.000 0.000 0.000
0.500 0.500 0.500
0.250 0.250 0.250
0.750 0.750 0.750

---

[11]
MnPtW2 | Alexandria via LeMat-Bulk | GGA-PBE | relaxed; magnetization = 2.9 μB/f.u.; formation enthalpy at 0 K = 58 kJ/mol of formula units; ΔE to the lowest computed polymorph = 0.213 eV/atom
1.0
1.393 0.804 9.182
-1.393 0.804 9.182
0.000 -1.609 9.182
Mn Pt W
1 1 2
direct
0.000 0.000 0.000
0.254 0.254 0.254
0.503 0.503 0.503
0.747 0.747 0.747

---

[12]
MnPtW3 | Alexandria via LeMat-Bulk | GGA-PBE | relaxed; magnetization = 3.6 μB/f.u.; formation enthalpy at 0 K = 1057 kJ/mol of formula units; ΔE to the lowest computed polymorph = 0.998 eV/atom
1.0
4.784 0.000 0.000
0.000 4.784 0.000
0.000 0.000 4.784
Mn Pt W
1 1 3
direct
0.000 0.000 0.000
0.500 0.500 0.500
0.000 0.500 0.500
0.500 0.000 0.500
0.500 0.500 0.000

---

[13]
Mn2Pt3W | Alexandria via LeMat-Bulk | GGA-PBE | relaxed; magnetization = 8.6 μB/f.u.; formation enthalpy at 0 K = -173 kJ/mol of formula units
1.0
2.836 0.000 0.000
0.000 2.836 0.000
0.000 0.000 11.358
Mn Pt W
2 3 1
direct
0.000 0.000 0.161
0.000 0.000 0.839
0.500 0.500 0.000
0.500 0.500 0.330
0.500 0.500 0.670
0.000 0.000 0.500

---

[14]
MnPt5W4 | Alexandria via LeMat-Bulk | GGA-PBE | relaxed; magnetization = 4.2 μB/f.u.; formation enthalpy at 0 K = -222 kJ/mol of formula units
1.0
2.762 0.000 0.000
0.000 2.762 0.000
0.000 0.000 20.285
Mn Pt W
1 5 4
direct
0.000 0.000 0.000
0.500 0.500 0.097
0.500 0.500 0.297
0.500 0.500 0.500
0.500 0.500 0.703
0.500 0.500 0.903
0.000 0.000 0.194
0.000 0.000 0.398
0.000 0.000 0.602
0.000 0.000 0.806

---

[15]
MnPtW2 | Alexandria via LeMat-Bulk | GGA-PBE | relaxed; magnetization = 1.3 μB/f.u.; formation enthalpy at 0 K = 0 kJ/mol of formula units; ΔE to the lowest computed polymorph = 0.063 eV/atom
1.0
2.730 -3.997 0.000
2.730 3.997 0.000
0.000 0.000 2.720
Mn Pt W
1 1 2
direct
0.000 0.000 0.000
0.500 0.500 0.000
0.000 0.500 0.500
0.500 0.000 0.500

---

[16]
Mn2PtW | Alexandria via LeMat-Bulk | GGA-PBE | relaxed; magnetization = 2.3 μB/f.u.; formation enthalpy at 0 K = -39 kJ/mol of formula units; ΔE to the lowest computed polymorph = 0.000 eV/atom
1.0
3.857 0.000 0.000
0.000 3.857 0.000
0.000 0.000 3.630
Mn Pt W
2 1 1
direct
0.000 0.500 0.000
0.500 0.000 0.000
0.000 0.000 0.500
0.500 0.500 0.500

---

[17]
Mn4PtW | Alexandria via LeMat-Bulk | GGA-PBE | relaxed; magnetization = 2.1 μB/f.u.; formation enthalpy at 0 K = -36 kJ/mol of formula units
1.0
0.000 3.338 3.338
3.338 0.000 3.338
3.338 3.338 0.000
Mn Pt W
4 1 1
direct
0.123 0.123 0.123
0.123 0.123 0.631
0.123 0.631 0.123
0.631 0.123 0.123
0.750 0.750 0.750
0.500 0.500 0.500

---

[18]
Mn2PtW | Alexandria via LeMat-Bulk | GGA-PBE | relaxed; magnetization = 5.2 μB/f.u.; formation enthalpy at 0 K = 12 kJ/mol of formula units; ΔE to the lowest computed polymorph = 0.132 eV/atom
1.0
4.647 -1.382 0.000
4.647 1.382 0.000
-0.920 0.000 4.469
Mn Pt W
2 1 1
direct
0.000 0.000 0.000
0.250 0.250 0.756
0.504 0.504 0.507
0.753 0.753 0.255

---

[19]
MnPtW2 | Alexandria via LeMat-Bulk | GGA-PBE | relaxed; magnetization = 1.1 μB/f.u.; formation enthalpy at 0 K = -24 kJ/mol of formula units; ΔE to the lowest computed polymorph = 0.000 eV/atom
1.0
3.854 0.000 0.000
0.000 3.854 0.000
0.000 0.000 3.976
Mn Pt W
1 1 2
direct
0.000 0.000 0.000
0.500 0.500 0.000
0.000 0.500 0.500
0.500 0.000 0.500

---

[20]
Mn2PtW | Alexandria via LeMat-Bulk | GGA-PBE | relaxed; magnetization = 0.5 μB/f.u.; formation enthalpy at 0 K = 39 kJ/mol of formula units; ΔE to the lowest computed polymorph = 0.203 eV/atom
1.0
1.368 0.790 8.763
-1.368 0.790 8.763
0.000 -1.580 8.763
Mn Pt W
2 1 1
direct
0.000 0.000 0.000
0.261 0.261 0.261
0.509 0.509 0.509
0.753 0.753 0.753